Record 1
Crystalline Mg3CuPt at its relaxed geometry. Source: the Alexandria database, functional PBE.

Values from the calculation:
E above lowest polymorph (meV per atom): 0
Energy of formation from the pure elements (kJ/mol of formula units): 12
Crystal system: cubic

Unit cell a=4.9546 b=4.9546 c=4.9546 alpha=90.00 beta=90.00 gamma=90.00
Last column: nearest neighbours and their distance in Å.
Space group Pm-3m (No. 221)
Inequivalent atoms, fractional coordinates:
Mg (0.0000, 0.0000, 0.5000) x3  2 Pt 2.48
Cu (0.5000, 0.5000, 0.5000) x1  12 Mg 3.50
Pt (0.0000, 0.0000, 0.0000) x1  6 Mg 2.48

---

Record 2
Crystalline Co3ReNi at its relaxed geometry. Source: the Alexandria database, functional PBE.

Values from the calculation:
E above lowest polymorph (meV per atom): 0
Energy of formation from the pure elements (kJ/mol of formula units): 697
Crystal system: cubic

Unit cell a=4.1601 b=4.1601 c=4.1601 alpha=90.00 beta=90.00 gamma=90.00
Last column: nearest neighbours and their distance in Å.
Space group Pm-3m (No. 221)
Inequivalent atoms, fractional coordinates:
Co (0.0000, 0.0000, 0.5000) x3  2 Ni 2.08
Re (0.5000, 0.5000, 0.5000) x1  12 Co 2.94
Ni (0.0000, 0.0000, 0.0000) x1  6 Co 2.08

---

Record 3
Crystalline InAgS2Cl at its relaxed geometry. Source: the Alexandria database, functional PBE.

Values from the calculation:
Uncorrected formation energy (kJ/mol of formula units): 107
E above lowest polymorph (meV per atom): 59
Crystal system: tetragonal

Unit cell a=4.9070 b=4.9070 c=5.0527 alpha=90.00 beta=90.00 gamma=90.00
Last column: nearest neighbours and their distance in Å.
Space group P4/mmm (No. 123)
Inequivalent atoms, fractional coordinates:
In (0.0000, 0.0000, 0.0000) x1  4 Cl 3.47, 8 S 3.52
Ag (0.5000, 0.5000, 0.5000) x1  4 S 2.45, 2 Cl 2.53
S (0.0000, 0.5000, 0.5000) x2  2 Ag 2.45
Cl (0.5000, 0.5000, 0.0000) x1  2 Ag 2.53

---

Record 4
Crystalline ZnIrOs3 at its relaxed geometry. Source: the Alexandria database, functional PBE.

Values from the calculation:
E above lowest polymorph (meV per atom): 121
Energy of formation from the pure elements (kJ/mol of formula units): 1133
Crystal system: cubic

Unit cell a=4.7196 b=4.7196 c=4.7196 alpha=90.00 beta=90.00 gamma=90.00
Last column: nearest neighbours and their distance in Å.
Space group Pm-3m (No. 221)
Inequivalent atoms, fractional coordinates:
Zn (0.0000, 0.0000, 0.0000) x1  12 Os 3.34
Ir (0.5000, 0.5000, 0.5000) x1  6 Os 2.36
Os (0.0000, 0.5000, 0.5000) x3  2 Ir 2.36

---

Record 5
Crystalline KSr2Cl at its relaxed geometry. Source: the Alexandria database, functional PBE.

Values from the calculation:
Uncorrected formation energy (kJ/mol of formula units): -102
E above lowest polymorph (meV per atom): 567
Crystal system: cubic

Unit cell a=9.4524 b=9.4524 c=9.4524 alpha=90.00 beta=90.00 gamma=90.00
Last column: nearest neighbours and their distance in Å.
Space group F-43m (No. 216)
Inequivalent atoms, fractional coordinates:
K (0.0000, 0.0000, 0.0000) x4  4 Cl 4.09, 4 Sr 4.09
Sr (0.0000, 0.0000, 0.5000) x4  4 Sr 4.09, 4 Cl 4.09
Sr (0.2500, 0.2500, 0.2500) x4  4 K 4.09, 4 Sr 4.09
Cl (0.2500, 0.2500, 0.7500) x4  4 K 4.09, 4 Sr 4.09

---

Record 6
Crystalline Tl2HgBiH at its relaxed geometry. Source: the Alexandria database, functional PBE.

Values from the calculation:
E above lowest polymorph (meV per atom): 0
Crystal system: tetragonal

Unit cell a=5.5225 b=5.5225 c=4.3155 alpha=90.00 beta=90.00 gamma=90.00
Last column: nearest neighbours and their distance in Å.
Space group P4/mmm (No. 123)
Inequivalent atoms, fractional coordinates:
Tl (0.0000, 0.5000, 0.0000) x2  2 H 2.76
Hg (0.0000, 0.0000, 0.5000) x1  8 Tl 3.50, 4 Bi 3.90
Bi (0.5000, 0.5000, 0.5000) x1  2 H 2.16
H (0.5000, 0.5000, 0.0000) x1  2 Bi 2.16

---

Record 7
Crystalline Dy4YHo5 at its relaxed geometry. Source: the Alexandria database, functional PBE.

Values from the calculation:
Energy of formation from the pure elements (kJ/mol of formula units): 299
Crystal system: tetragonal

Unit cell a=10.1769 b=10.1769 c=6.2438 alpha=90.00 beta=90.00 gamma=90.00
Last column: nearest neighbours and their distance in Å.
Space group I4 (No. 79)
Inequivalent atoms, fractional coordinates:
Dy (0.0486, 0.3479, 0.0000) x8  4 Ho 3.21-3.49, 1 Dy 3.25
Y (0.0000, 0.0000, 0.2285) x2  1 Ho 2.88
Ho (0.0000, 0.0000, 0.7680) x2  1 Y 2.88
Ho (0.1465, 0.2327, 0.5019) x8  4 Dy 3.21-3.49, 1 Ho 3.25, 1 Y 3.28

---

Record 8
Crystalline KIn3Ge at its relaxed geometry. Source: the Alexandria database, functional PBE.

Values from the calculation:
E above lowest polymorph (meV per atom): 1103
Energy of formation from the pure elements (kJ/mol of formula units): 515
Crystal system: cubic

Unit cell a=5.9184 b=5.9184 c=5.9184 alpha=90.00 beta=90.00 gamma=90.00
Last column: nearest neighbours and their distance in Å.
Space group Pm-3m (No. 221)
Inequivalent atoms, fractional coordinates:
K (0.0000, 0.0000, 0.0000) x1  6 In 2.96
In (0.0000, 0.0000, 0.5000) x3  2 K 2.96
Ge (0.5000, 0.5000, 0.5000) x1  12 In 4.18

---

Record 9
Crystalline HfAsSe3 at its relaxed geometry. Source: the Alexandria database, functional PBE.

Values from the calculation:
Uncorrected formation energy (kJ/mol of formula units): -15
E above lowest polymorph (meV per atom): 0
Crystal system: cubic

Unit cell a=5.1378 b=5.1378 c=5.1378 alpha=90.00 beta=90.00 gamma=90.00
Last column: nearest neighbours and their distance in Å.
Space group Pm-3m (No. 221)
Inequivalent atoms, fractional coordinates:
Hf (0.0000, 0.0000, 0.0000) x1  6 Se 2.57
As (0.5000, 0.5000, 0.5000) x1  12 Se 3.63
Se (0.0000, 0.0000, 0.5000) x3  2 Hf 2.57

---

Record 10
Crystalline Th2Ge3PRh4 at its relaxed geometry. Source: the Alexandria database, functional PBE.

Values from the calculation:
Energy of formation from the pure elements (kJ/mol of formula units): -914
Crystal system: tetragonal

Unit cell a=4.2817 b=4.2817 c=9.8852 alpha=90.00 beta=90.00 gamma=90.00
Last column: nearest neighbours and their distance in Å.
Space group P-4m2 (No. 115)
Inequivalent atoms, fractional coordinates:
Th (0.0000, 0.5000, 0.2442) x2  6 Ge 3.23-3.25, 2 P 3.23, 9 Rh 3.29-3.54
Ge (0.0000, 0.0000, 0.0000) x1  4 Rh 2.42
Ge (0.0000, 0.5000, 0.6362) x2  5 Rh 2.47-2.53
P (0.5000, 0.5000, 0.0000) x1  4 Rh 2.42
Rh (0.0000, 0.0000, 0.5000) x1  4 Ge 2.53
Rh (0.0000, 0.5000, 0.8861) x2  2 P 2.42, 3 Ge 2.42-2.47
Rh (0.5000, 0.5000, 0.5000) x1  4 Ge 2.53

---

Record 11
Crystalline Nd2Dy3Y6Sc at its relaxed geometry. Source: the Alexandria database, functional PBE.

Values from the calculation:
Energy of formation from the pure elements (kJ/mol of formula units): 32
Crystal system: monoclinic

Unit cell a=6.1565 b=10.6594 c=11.7978 alpha=90.00 beta=99.98 gamma=90.00
Last column: nearest neighbours and their distance in Å.
Space group C2/m (No. 12)
Inequivalent atoms, fractional coordinates:
Nd (0.0000, 0.1663, 0.0000) x4  3 Nd 3.55-3.56, 3 Sc 3.55-3.56, 6 Y 3.56-3.57
Dy (0.0000, 0.0000, 0.5000) x2  6 Y 3.55-3.56, 6 Dy 3.55-3.56
Dy (0.0000, 0.3337, 0.5000) x4  6 Y 3.54-3.57, 6 Dy 3.55-3.56
Y (0.2472, 0.5000, 0.7492) x4  6 Y 3.52-3.57, 3 Dy 3.54-3.56, 1 Sc 3.55, 2 Nd 3.57
Y (0.2480, 0.3349, 0.2502) x8  6 Y 3.52-3.57, 3 Dy 3.55-3.57, 1 Sc 3.55, 2 Nd 3.56-3.57
Sc (0.0000, 0.5000, 0.0000) x2  6 Y 3.55, 6 Nd 3.55-3.56

---

Record 12
Crystalline Nd3SnAs2Pt9 at its relaxed geometry. Source: the Alexandria database, functional PBE.

Values from the calculation:
Energy of formation from the pure elements (kJ/mol of formula units): -819
Crystal system: trigonal

Unit cell a=6.5625 b=6.5625 c=9.3591 alpha=90.00 beta=90.00 gamma=120.00
Last column: nearest neighbours and their distance in Å.
Space group P-3m1 (No. 164)
Inequivalent atoms, fractional coordinates:
Nd (0.0000, 0.0000, 0.0000) x1  12 Pt 3.00-3.28
Nd (0.3333, 0.6667, 0.7399) x2  9 Pt 3.08-3.30
Sn (0.0000, 0.0000, 0.5000) x1  6 Pt 2.67
As (0.3333, 0.6667, 0.1813) x2  6 Pt 2.35-2.54
Pt (0.0000, 0.5000, 0.0000) x3  2 As 2.54
Pt (0.1401, 0.2802, 0.2715) x6  1 As 2.35

---

Record 13
Crystalline Na8B13C3 at its relaxed geometry. Source: the Alexandria database, functional PBE.

Values from the calculation:
E above lowest polymorph (meV per atom): 31
Energy of formation from the pure elements (kJ/mol of formula units): 492
Crystal system: monoclinic

Unit cell a=5.0795 b=8.6566 c=5.9260 alpha=90.00 beta=90.08 gamma=90.00
Last column: nearest neighbours and their distance in Å.
Space group Pm (No. 6)
Inequivalent atoms, fractional coordinates:
Na (0.0000, 0.2490, 0.0000) x2  3 C 2.71-2.76, 9 B 2.71-2.79, 6 Na 2.93-2.96
Na (0.0007, 0.2503, 0.4998) x2  10 B 2.66-2.86, 2 C 2.75-2.79, 6 Na 2.94-2.96
Na (0.4992, 0.2498, 0.2498) x2  2 C 2.71-2.75, 10 B 2.72-2.83, 6 Na 2.93-2.96
Na (0.5017, 0.2509, 0.7496) x2  10 B 2.66-2.86, 2 C 2.74-2.80, 6 Na 2.93-2.96
B (0.1465, 0.5000, 0.7497) x1  1 C 1.59, 2 B 1.76
B (0.1659, 0.5000, 0.2498) x1  3 B 1.72-1.75
B (0.1834, 0.0000, 0.7475) x1  2 B 1.68-1.74
B (0.3038, 0.0000, 0.4843) x1  1 C 1.57, 1 B 1.68
B (0.3363, 0.0000, 0.0096) x1  2 C 1.61-1.73, 1 B 1.74
B (0.3371, 0.5000, 0.5012) x1  3 B 1.72-1.76
B (0.3379, 0.5000, 0.9983) x1  3 B 1.73-1.76
B (0.6808, 0.5000, 0.5135) x1  1 C 1.60, 2 B 1.72-1.75
B (0.6808, 0.5000, 0.9860) x1  1 C 1.60, 2 B 1.72-1.74
B (0.6843, 0.0000, 0.5023) x1  2 B 1.68-1.74
B (0.8047, 0.0000, 0.7656) x1  1 C 1.57, 1 B 1.68
B (0.8222, 0.5000, 0.2495) x1  3 B 1.72-1.75
B (0.8366, 0.0000, 0.2402) x1  2 C 1.60-1.72, 1 B 1.74
C (0.1762, 0.0000, 0.2430) x1  3 B 1.57-1.72
C (0.6763, 0.0000, 0.0071) x1  3 B 1.57-1.73
C (0.8333, 0.5000, 0.7495) x1  3 B 1.59-1.60

---

Record 14
Crystalline DyThTlIn at its relaxed geometry. Source: the Alexandria database, functional PBE.

Values from the calculation:
E above lowest polymorph (meV per atom): 0
Energy of formation from the pure elements (kJ/mol of formula units): -108
Crystal system: tetragonal

Unit cell a=5.0513 b=5.0513 c=8.8020 alpha=90.00 beta=90.00 gamma=90.00
Last column: nearest neighbours and their distance in Å.
Space group I-4m2 (No. 119)
Inequivalent atoms, fractional coordinates:
Dy (0.0000, 0.0000, 0.0000) x2  4 Tl 3.35, 4 In 3.35, 4 Th 3.57
Th (0.0000, 0.0000, 0.5000) x2  4 Tl 3.35, 4 In 3.35, 4 Dy 3.57
Tl (0.0000, 0.5000, 0.7500) x2  4 Dy 3.35, 4 Th 3.35, 4 In 3.57
In (0.0000, 0.5000, 0.2500) x2  4 Th 3.35, 4 Dy 3.35, 4 Tl 3.57

---

Record 15
Crystalline Pr12Gd3Sb5 at its relaxed geometry. Source: the Alexandria database, functional PBE.

Values from the calculation:
Uncorrected formation energy (kJ/mol of formula units): 19
Crystal system: cubic

Unit cell a=18.9037 b=18.9037 c=18.9037 alpha=90.00 beta=90.00 gamma=90.00
Last column: nearest neighbours and their distance in Å.
Space group Ia-3d (No. 230)
Inequivalent atoms, fractional coordinates:
Pr (0.0255, 0.0747, 0.6466) x96  2 Sb 3.06-3.15, 1 Gd 3.37
Gd (0.0000, 0.2500, 0.1250) x24  8 Pr 3.37-3.73
Sb (0.0000, 0.0000, 0.0000) x16  6 Pr 3.15
Sb (0.0000, 0.2500, 0.3750) x24  4 Pr 3.06

---

Record 16
Crystalline HfMnTcMo at its relaxed geometry. Source: the Alexandria database, functional PBE.

Values from the calculation:
Energy of formation from the pure elements (kJ/mol of formula units): -64
Crystal system: cubic

Unit cell a=6.2614 b=6.2614 c=6.2614 alpha=90.00 beta=90.00 gamma=90.00
Last column: nearest neighbours and their distance in Å.
Space group F-43m (No. 216)
Inequivalent atoms, fractional coordinates:
Hf (0.0000, 0.0000, 0.0000) x4  4 Mn 2.71, 4 Tc 2.71
Mn (0.2500, 0.2500, 0.2500) x4  4 Hf 2.71, 4 Mo 2.71
Tc (0.2500, 0.2500, 0.7500) x4  4 Hf 2.71, 4 Mo 2.71
Mo (0.0000, 0.0000, 0.5000) x4  4 Mn 2.71, 4 Tc 2.71

---

Record 17
Crystalline BeOs4Br at its relaxed geometry. Source: the Alexandria database, functional PBE.

Values from the calculation:
Uncorrected formation energy (kJ/mol of formula units): 879
Crystal system: cubic

Unit cell a=7.3664 b=7.3664 c=7.3664 alpha=90.00 beta=90.00 gamma=90.00
Last column: nearest neighbours and their distance in Å.
Space group F-43m (No. 216)
Inequivalent atoms, fractional coordinates:
Be (0.0000, 0.0000, 0.0000) x4  12 Os 3.05, 4 Br 3.19
Os (0.1255, 0.1255, 0.6255) x16  6 Os 2.59-2.61
Br (0.2500, 0.2500, 0.2500) x4  12 Os 3.06, 4 Be 3.19

---

Record 18
Crystalline Li3MgRu at its relaxed geometry. Source: the Alexandria database, functional PBE.

Values from the calculation:
E above lowest polymorph (meV per atom): 0
Energy of formation from the pure elements (kJ/mol of formula units): 329
Crystal system: cubic

Unit cell a=4.5994 b=4.5994 c=4.5994 alpha=90.00 beta=90.00 gamma=90.00
Last column: nearest neighbours and their distance in Å.
Space group Pm-3m (No. 221)
Inequivalent atoms, fractional coordinates:
Li (0.0000, 0.0000, 0.5000) x3  2 Ru 2.30
Mg (0.5000, 0.5000, 0.5000) x1  12 Li 3.25
Ru (0.0000, 0.0000, 0.0000) x1  6 Li 2.30

---

Record 19
Crystalline ZrCuSi at its relaxed geometry. Source: the Alexandria database, functional PBE.

Values from the calculation:
Uncorrected formation energy (kJ/mol of formula units): -195
Crystal system: tetragonal

Unit cell a=3.7646 b=3.7646 c=13.4167 alpha=90.00 beta=90.00 gamma=90.00
Last column: nearest neighbours and their distance in Å.
Space group I4/mmm (No. 139)
Inequivalent atoms, fractional coordinates:
Zr (0.0000, 0.0000, 0.1709) x4  5 Si 2.74-2.78, 4 Cu 2.97
Cu (0.0000, 0.5000, 0.0000) x4  4 Si 2.49, 4 Cu 2.66
Si (0.0000, 0.0000, 0.3781) x4  4 Cu 2.49, 5 Zr 2.74-2.78

---

Record 20
Crystalline NaBiPdPb at its relaxed geometry. Source: the Alexandria database, functional PBE.

Values from the calculation:
Energy of formation from the pure elements (kJ/mol of formula units): -79
Crystal system: cubic

Unit cell a=7.2223 b=7.2223 c=7.2223 alpha=90.00 beta=90.00 gamma=90.00
Last column: nearest neighbours and their distance in Å.
Space group F-43m (No. 216)
Inequivalent atoms, fractional coordinates:
Na (0.0000, 0.0000, 0.0000) x4  4 Pb 3.13, 4 Bi 3.13
Bi (0.2500, 0.2500, 0.7500) x4  4 Na 3.13, 4 Pd 3.13
Pd (0.0000, 0.0000, 0.5000) x4  4 Pb 3.13, 4 Bi 3.13
Pb (0.2500, 0.2500, 0.2500) x4  4 Na 3.13, 4 Pd 3.13

---

Record order is preserved below.
E: -2.96 -6.46 -2.92 -6.42 -1.84 -2.29 -4.47 -1.72 -5.04 -7.30 -5.68 -6.03 -5.00 -4.56 -6.00 -10.25 -6.87 -2.64 -6.70 -3.73 eV/atom